Arrangement one

The following is a DFT calculation (GGA-PBE) of MgFeAs2 after structural relaxation.

The structure belongs to space group Pmm2 (No. 25); the cell edges are 2.979, 3.665 and 7.191 Å and the angles 90.00°, 90.00° and 90.00°. Symmetry generates all atoms from Mg at (0.000, 0.000, 0.000), Fe at (0.500, 0.500, 0.520), As at (0.000, 0.000, 0.631) and As at (0.500, 0.500, 0.187).

***

Arrangement two

The following is a DFT calculation (GGA-PBE) of MgFeAs2 after structural relaxation.

The structure belongs to space group P4mm (No. 99); the cell edges are 2.930, 2.930 and 7.912 Å and the angles 90.00°, 90.00° and 90.00°. Symmetry generates all atoms from Mg at (0.000, 0.000, 0.000), Fe at (0.500, 0.500, 0.771), As at (0.000, 0.000, 0.621) and As at (0.500, 0.500, 0.261).

***

Going by the energies, arrangement one is most stable and the next is 31 meV per atom up.

***

Arrangement one

The following is a DFT calculation (GGA-PBE) of MgFeAs2 after structural relaxation.

The structure belongs to space group Amm2 (No. 38); the cell edges are 3.663, 2.957 and 13.729 Å and the angles 90.00°, 90.00° and 90.00°. Symmetry generates all atoms from Mg at (0.000, 0.000, 0.000), Fe at (0.500, 0.000, 0.762), As at (0.000, 0.000, 0.193) and As at (0.500, 0.000, 0.402).

***

Arrangement two

The following is a DFT calculation (GGA-PBE) of MgFeAs2 after structural relaxation.

The structure belongs to space group Imm2 (No. 44); the cell edges are 2.988, 3.535 and 12.868 Å and the angles 90.00°, 90.00° and 90.00°. Symmetry generates all atoms from Mg at (0.000, 0.000, 0.000), Fe at (0.000, 0.500, 0.267), As at (0.000, 0.000, 0.621) and As at (0.000, 0.500, 0.837).

***

Going by the energies, arrangement two is most stable and the next is 23 meV per atom up.

***

Arrangement one

The following is a DFT calculation (GGA-PBE) of MgFeAs2 after structural relaxation.

The structure belongs to space group P4/mmm (No. 123); the cell edges are 4.356, 4.356 and 3.528 Å and the angles 90.00°, 90.00° and 90.00°. Symmetry generates all atoms from Mg at (0.000, 0.000, 0.000), Fe at (0.500, 0.500, 0.000) and As at (0.000, 0.500, 0.500).

***

Arrangement two

The following is a DFT calculation (GGA-PBE) of MgFeAs2 after structural relaxation.

The structure belongs to space group P4/mmm (No. 123); the cell edges are 3.066, 3.066 and 6.935 Å and the angles 90.00°, 90.00° and 90.00°. Symmetry generates all atoms from Mg at (0.000, 0.000, 0.000), Fe at (0.000, 0.000, 0.500) and As at (0.500, 0.500, 0.293).

***

Arrangement three

The following is a DFT calculation (GGA-PBE) of MgFeAs2 after structural relaxation.

The structure belongs to space group C2/m (No. 12); the cell edges are 5.695, 6.950 and 3.368 Å and the angles 90.00°, 90.45° and 90.00°. Symmetry generates all atoms from Mg at (0.000, 0.000, 0.000), Fe at (0.000, 0.500, 0.000) and As at (0.250, 0.250, 0.500).

***

Arrangement four

The following is a DFT calculation (GGA-PBE) of MgFeAs2 after structural relaxation.

The structure belongs to space group Fm-3m (No. 225); the cell edges are 6.320, 6.320 and 6.320 Å and the angles 90.00°, 90.00° and 90.00°. Symmetry generates all atoms from Mg at (0.000, 0.000, 0.000), Fe at (0.000, 0.000, 0.500) and As at (0.250, 0.250, 0.250).

***

Going by the energies, arrangement two is most stable and the next is 121 meV per atom up.

***

Arrangement one

The following is a DFT calculation (GGA-PBE) of MgFeAs2 after structural relaxation.

The structure belongs to space group I-4m2 (No. 119); the cell edges are 3.776, 3.776 and 9.507 Å and the angles 90.00°, 90.00° and 90.00°. Symmetry generates all atoms from Mg at (0.000, 0.000, 0.000), Fe at (0.000, 0.500, 0.250), As at (0.000, 0.000, 0.500) and As at (0.000, 0.500, 0.750).

***

Arrangement two

The following is a DFT calculation (GGA-PBE) of MgFeAs2 after structural relaxation.

The structure belongs to space group P4mm (No. 99); the cell edges are 3.461, 3.461 and 5.946 Å and the angles 90.00°, 90.00° and 90.00°. Symmetry generates all atoms from Mg at (0.000, 0.000, 0.000), Fe at (0.500, 0.500, 0.621), As at (0.000, 0.000, 0.549) and As at (0.500, 0.500, 0.205).

***

Going by the energies, arrangement two is most stable and the next is 77 meV per atom up.

***

Arrangement one

The following is a DFT calculation (GGA-PBE) of MgFeAs2 after structural relaxation.

The structure belongs to space group R-3m (No. 166, hexagonal axes); the cell edges are 3.4678, 3.4678 and 20.1905 Å and the angles 90.00°, 90.00° and 120.00°. Symmetry generates all atoms from Mg at (0.0000, 0.0000, 0.0000), Fe at (0.0000, 0.0000, 0.5000) and As at (0.0000, 0.0000, 0.2363).

***

Arrangement two

The following is a DFT calculation (GGA-PBE) of MgFeAs2 after structural relaxation.

The structure belongs to space group I-42d (No. 122); the cell edges are 5.812, 5.812 and 10.669 Å and the angles 90.00°, 90.00° and 90.00°. Symmetry generates all atoms from Mg at (0.000, 0.000, 0.000), Fe at (0.000, 0.000, 0.500) and As at (0.187, 0.250, 0.625).

***

Arrangement three

The following is a DFT calculation (GGA-PBE) of MgFeAs2 after structural relaxation.

The structure belongs to space group F-43m (No. 216); the cell edges are 6.497, 6.497 and 6.497 Å and the angles 90.00°, 90.00° and 90.00°. Symmetry generates all atoms from Mg at (0.000, 0.000, 0.000), Fe at (0.250, 0.250, 0.250), As at (0.000, 0.000, 0.500) and As at (0.250, 0.250, 0.750).

***

Arrangement four

The following is a DFT calculation (GGA-PBE) of MgFeAs2 after structural relaxation.

The structure belongs to space group Pm (No. 6); the cell edges are 3.692, 4.453 and 4.657 Å and the angles 90.00°, 113.12° and 90.00°. Symmetry generates all atoms from Mg at (0.000, 0.000, 0.000), Fe at (0.402, 0.500, 0.798), As at (0.291, 0.000, 0.578) and As at (0.688, 0.500, 0.368).

***

Going by the energies, arrangement one is most stable and the next is 145 meV per atom up.

***

Arrangement one

The following is a DFT calculation (GGA-PBE) of MgFeAsSe2 after structural relaxation.

The structure belongs to space group P4/mmm (No. 123); the cell edges are 4.997, 4.997 and 4.920 Å and the angles 90.00°, 90.00° and 90.00°. Symmetry generates all atoms from Mg at (0.000, 0.000, 0.000), Fe at (0.500, 0.500, 0.500), As at (0.000, 0.000, 0.500) and Se at (0.000, 0.500, 0.000).

***

Arrangement two

The following is a DFT calculation (GGA-PBE) of MgFeAsSe2 after structural relaxation.

The structure belongs to space group P4/mmm (No. 123); the cell edges are 4.992, 4.992 and 4.352 Å and the angles 90.00°, 90.00° and 90.00°. Symmetry generates all atoms from Mg at (0.000, 0.000, 0.000), Fe at (0.500, 0.500, 0.500), As at (0.500, 0.500, 0.000) and Se at (0.000, 0.500, 0.500).

***

Going by the energies, arrangement two is most stable and the next is 643 meV per atom up.

***

Arrangement one

The following is a DFT calculation (GGA-PBE) of MgFeAs2Se after structural relaxation.

The structure belongs to space group P4/mmm (No. 123); the cell edges are 4.380, 4.380 and 5.537 Å and the angles 90.00°, 90.00° and 90.00°. Symmetry generates all atoms from Mg at (0.000, 0.000, 0.000), Fe at (0.500, 0.500, 0.500), As at (0.000, 0.500, 0.500) and Se at (0.500, 0.500, 0.000).

***

Arrangement two

The following is a DFT calculation (GGA-PBE) of MgFeAs2Se after structural relaxation.

The structure belongs to space group P4/mmm (No. 123); the cell edges are 4.876, 4.876 and 4.943 Å and the angles 90.00°, 90.00° and 90.00°. Symmetry generates all atoms from Mg at (0.000, 0.000, 0.000), Fe at (0.500, 0.500, 0.500), As at (0.000, 0.500, 0.000) and Se at (0.000, 0.000, 0.500).

***

Going by the energies, arrangement one is most stable and the next is 1119 meV per atom up.

***

Arrangement one

The following is a DFT calculation (GGA-PBE) of Mn2FeAs2 after structural relaxation.

The structure belongs to space group Ibam (No. 72); the cell edges are 6.072, 10.270 and 4.809 Å and the angles 90.00°, 90.00° and 90.00°. Symmetry generates all atoms from Mn at (0.146, 0.102, 0.000), Fe at (0.000, 0.500, 0.250) and As at (0.239, 0.356, 0.000).

***

Arrangement two

The following is a DFT calculation (GGA-PBE) of Mn2FeAs2 after structural relaxation.

The structure belongs to space group P4/mbm (No. 127); the cell edges are 6.421, 6.421 and 3.394 Å and the angles 90.00°, 90.00° and 90.00°. Symmetry generates all atoms from Mn at (0.148, 0.352, 0.000), Fe at (0.000, 0.000, 0.500) and As at (0.154, 0.654, 0.500).

***

Going by the energies, arrangement one is most stable and the next is 153 meV per atom up.